Entry from Alexandria via LeMat-Bulk: a geometry-optimized TaRe3Rh structure (GGA-PBEsol).

ρ: 14811 kg/m3
Space group: Pm-3m, No. 221
DFT total energy: -49.7 eV per cell

a b c (Å): 4.554 4.554 4.554
angles (deg): 90.00 90.00 90.00
Fractional coordinates of all 5 atoms:
Ta 0.000 0.000 0.000
Re 0.000 0.500 0.500
Re 0.500 0.000 0.500
Re 0.500 0.500 0.000
Rh 0.500 0.500 0.500

=====

Entry from Alexandria via LeMat-Bulk: a geometry-optimized LiY2Cd structure (GGA-PBEsol).

ρ: 4981 kg/m3
Relative energy among the computed polymorphs: 0.0 meV/atom
Space group: Fm-3m, No. 225

a b c (Å): 5.194 5.194 5.194
angles (deg): 60.00 60.00 60.00
Fractional coordinates of all 4 atoms:
Li 0.000 0.000 0.000
Y 0.250 0.250 0.250
Y 0.750 0.750 0.750
Cd 0.500 0.500 0.500

=====

Entry from Alexandria via LeMat-Bulk: a geometry-optimized ZrTe2Br structure (GGA-PBEsol).

ρ: 7367 kg/m3
Energy relative to the elements, uncorrected: -0.048 eV/atom
Relative energy among the computed polymorphs: 685.4 meV/atom
Space group: P4/mmm, No. 123

a b c (Å): 5.438 5.438 3.250
angles (deg): 90.00 90.00 90.00
Fractional coordinates of all 4 atoms:
Zr 0.000 0.000 0.000
Te 0.000 0.500 0.500
Te 0.500 0.000 0.500
Br 0.500 0.500 0.000

=====

Entry from Alexandria via LeMat-Bulk: a geometry-optimized Cr2ReHg structure (GGA-PBEsol).

ρ: 14480 kg/m3
Space group: I-4m2, No. 119
DFT total energy: -31.9 eV per cell

a b c (Å): 4.740 4.740 4.740
angles (deg): 132.80 132.80 68.97
Fractional coordinates of all 4 atoms:
Cr 0.000 0.000 0.000
Cr 0.750 0.250 0.500
Re 0.250 0.750 0.500
Hg 0.500 0.500 0.000